# Na2CrF6 (PBE+U, optimized geometry)
# **Total DFT energy (no corrections)**: -5.001 eV per atom
# **Total moment**: 0.222 μB per atom
data_Na2CrF6
_chemical_formula_sum 'Na4 Cr2 F12'
_cell_length_a 5.6198
_cell_length_b 5.5037
_cell_length_c 10.5764
_cell_angle_alpha 90.00
_cell_angle_beta 121.90
_cell_angle_gamma 90.00
_symmetry_space_group_name_H-M 'P 1 21/c 1'
_symmetry_Int_Tables_number 14
_symmetry_space_group_name_Hall '-P 2ybc'
loop_
_atom_site_label
_atom_site_type_symbol
_atom_site_fract_x
_atom_site_fract_y
_atom_site_fract_z
Na1 Na 0.2004 0.0040 0.2018
Cr1 Cr 0.5000 0.0000 0.0000
F1 F 0.2159 0.1796 0.9975
F2 F 0.2239 0.7015 0.3557
F3 F 0.4833 0.1912 0.8503